# 1
VASP calculation (PBEsol) on Sc2WSe after structural relaxation. Values from VASP.

* calculated total energy: -32.246 eV per cell
* Fermi-level density of states: 1.106 states/eV/atom
* ΔE_f (raw): -7.946 kcal/mol of atoms

Geometry as Quantum ESPRESSO input:
```
&SYSTEM
  ibrav = 0, nat = 4, ntyp = 3
/
ATOMIC_SPECIES
Sc 44.96 Sc.upf
W 183.84 W.upf
Se 78.96 Se.upf
CELL_PARAMETERS angstrom
4.3777 0.0000 0.0000
0.0000 1.6964 4.9853
0.0000 -1.6964 4.9853
ATOMIC_POSITIONS crystal
Sc 0.0000 0.0000 0.0000
Sc 0.5000 0.2924 0.2924
W 0.5000 0.5622 0.5622
Se 0.0000 0.7186 0.7186
```

=====

# 2
VASP calculation (PBEsol) on Sc2W2Se after structural relaxation. Values from VASP.

* calculated total energy: -45.122 eV per cell
* Fermi-level density of states: 0.474 states/eV/atom
* ΔE_f (raw): -2.061 kcal/mol of atoms

Geometry as Quantum ESPRESSO input:
```
&SYSTEM
  ibrav = 0, nat = 5, ntyp = 3
/
ATOMIC_SPECIES
Sc 44.96 Sc.upf
W 183.84 W.upf
Se 78.96 Se.upf
CELL_PARAMETERS angstrom
-1.7819 1.7819 7.9645
1.7819 -1.7819 7.9645
1.7819 1.7819 -7.9645
ATOMIC_POSITIONS crystal
Sc 0.1030 0.1030 0.0000
Sc 0.8970 0.8970 0.0000
W 0.2500 0.7500 0.5000
W 0.7500 0.2500 0.5000
Se 0.5000 0.5000 0.0000
```

=====

# 3
VASP calculation (PBEsol) on Sc3WSe after structural relaxation. Values from VASP.

* calculated total energy: -35.996 eV per cell
* Fermi-level density of states: 1.334 states/eV/atom
* ΔE_f (raw): 6.813 kcal/mol of atoms

Geometry as Quantum ESPRESSO input:
```
&SYSTEM
  ibrav = 0, nat = 5, ntyp = 3
/
ATOMIC_SPECIES
Sc 44.96 Sc.upf
W 183.84 W.upf
Se 78.96 Se.upf
CELL_PARAMETERS angstrom
4.8186 0.0000 0.0000
0.0000 4.8186 0.0000
0.0000 0.0000 4.8186
ATOMIC_POSITIONS crystal
Sc 0.0000 0.0000 0.5000
Sc 0.0000 0.5000 0.0000
Sc 0.5000 0.0000 0.0000
W 0.5000 0.5000 0.5000
Se 0.0000 0.0000 0.0000
```

=====

# 4
VASP calculation (PBEsol) on YScSe2 after structural relaxation. Values from VASP.

* calculated total energy: -28.054 eV per cell
* Fermi-level density of states: 0.568 states/eV/atom
* ΔE to the lowest computed polymorph: 25.6 meV per atom
* ΔE_f (raw): -39.933 kcal/mol of atoms

Geometry as Quantum ESPRESSO input:
```
&SYSTEM
  ibrav = 0, nat = 4, ntyp = 3
/
ATOMIC_SPECIES
Y 88.91 Y.upf
Sc 44.96 Sc.upf
Se 78.96 Se.upf
CELL_PARAMETERS angstrom
3.9319 0.0000 0.0000
0.0000 3.9319 0.0000
0.0000 0.0000 5.5689
ATOMIC_POSITIONS crystal
Y 0.0000 0.0000 0.0000
Sc 0.5000 0.5000 0.5000
Se 0.0000 0.0000 0.5000
Se 0.5000 0.5000 0.0000
```

=====

# 5
VASP calculation (PBEsol) on YScSe2 after structural relaxation. Values from VASP.

* calculated total energy: -27.813 eV per cell
* Fermi-level density of states: 0.800 states/eV/atom
* ΔE to the lowest computed polymorph: 85.8 meV per atom
* ΔE_f (raw): -38.544 kcal/mol of atoms

Geometry as Quantum ESPRESSO input:
```
&SYSTEM
  ibrav = 0, nat = 4, ntyp = 3
/
ATOMIC_SPECIES
Y 88.91 Y.upf
Sc 44.96 Sc.upf
Se 78.96 Se.upf
CELL_PARAMETERS angstrom
-1.8186 1.8467 6.4540
1.8186 -1.8467 6.4540
1.8186 1.8467 -6.4540
ATOMIC_POSITIONS crystal
Y 0.0000 0.0000 0.0000
Sc 0.2471 0.7471 0.5000
Se 0.4054 0.4054 0.0000
Se 0.6682 0.1682 0.5000
```

=====

# 6
VASP calculation (PBEsol) on YScSe2 after structural relaxation. Values from VASP.

* calculated total energy: -28.157 eV per cell
* Fermi-level density of states: 0.528 states/eV/atom
* ΔE to the lowest computed polymorph: 0.0 meV per atom
* ΔE_f (raw): -40.522 kcal/mol of atoms

Geometry as Quantum ESPRESSO input:
```
&SYSTEM
  ibrav = 0, nat = 4, ntyp = 3
/
ATOMIC_SPECIES
Y 88.91 Y.upf
Sc 44.96 Sc.upf
Se 78.96 Se.upf
CELL_PARAMETERS angstrom
1.9561 1.1293 6.4320
-1.9561 1.1293 6.4320
0.0000 -2.2587 6.4320
ATOMIC_POSITIONS crystal
Y 0.0000 0.0000 0.0000
Sc 0.5000 0.5000 0.5000
Se 0.2445 0.2445 0.2445
Se 0.7555 0.7555 0.7555
```

=====

# 7
VASP calculation (PBEsol) on YScSe after structural relaxation. Values from VASP.

* calculated total energy: -17.126 eV per cell
* Fermi-level density of states: 1.324 states/eV/atom
* ΔE_f (raw): 1.162 kcal/mol of atoms

Geometry as Quantum ESPRESSO input:
```
&SYSTEM
  ibrav = 0, nat = 3, ntyp = 3
/
ATOMIC_SPECIES
Y 88.91 Y.upf
Sc 44.96 Sc.upf
Se 78.96 Se.upf
CELL_PARAMETERS angstrom
0.0000 3.3538 3.3538
3.3538 0.0000 3.3538
3.3538 3.3538 0.0000
ATOMIC_POSITIONS crystal
Y 0.0000 0.0000 0.0000
Sc 0.2500 0.2500 0.2500
Se 0.5000 0.5000 0.5000
```

=====

# 8
VASP calculation (PBEsol) on ScZnSe2 after structural relaxation. Values from VASP.

* calculated total energy: -19.405 eV per cell
* Fermi-level density of states: 0.435 states/eV/atom
* ΔE_f (raw): -20.280 kcal/mol of atoms

Geometry as Quantum ESPRESSO input:
```
&SYSTEM
  ibrav = 0, nat = 4, ntyp = 3
/
ATOMIC_SPECIES
Sc 44.96 Sc.upf
Zn 65.41 Zn.upf
Se 78.96 Se.upf
CELL_PARAMETERS angstrom
3.4620 0.0000 0.0000
0.0000 3.4163 0.0000
-1.2371 0.0000 6.4668
ATOMIC_POSITIONS crystal
Sc 0.0000 0.0000 0.0000
Zn 0.0000 0.0000 0.5000
Se 0.3717 0.5000 0.7618
Se 0.6283 0.5000 0.2382
```